# LiPdCl6

A relaxed structure of LiPdCl6 (GGA-PBE, the Alexandria database).

Lattice parameters (Å, degrees): 6.643 6.643 6.952 100.74 100.74 124.68
Positions (direct):
1 Li 0.000 0.000 0.000
2 Pd 0.000 0.000 0.500
3 Cl 0.124 0.847 0.252
4 Cl 0.153 0.876 0.748
5 Cl 0.413 0.413 0.647
6 Cl 0.587 0.587 0.353
7 Cl 0.847 0.124 0.252
8 Cl 0.876 0.153 0.748

---

# Li2PdCl4

A relaxed structure of Li2PdCl4 (GGA-PBE, the Alexandria database).

Lattice parameters (Å, degrees): 7.277 7.277 7.277 140.06 140.06 57.77
Positions (direct):
1 Li 0.131 0.131 0.000
2 Li 0.869 0.869 0.000
3 Pd 0.500 0.500 0.000
4 Cl 0.000 0.500 0.500
5 Cl 0.312 0.312 0.000
6 Cl 0.500 0.000 0.500
7 Cl 0.688 0.688 0.000

---

# LiPdCl

A relaxed structure of LiPdCl (GGA-PBE, the Alexandria database).

Lattice parameters (Å, degrees): 4.413 4.548 7.714 83.14 79.63 61.34
Positions (direct):
1 Li 0.000 0.000 0.000
2 Li 0.234 0.270 0.271
3 Pd 0.581 0.617 0.196
4 Pd 0.891 0.953 0.360
5 Cl 0.404 0.467 0.482
6 Cl 0.634 0.816 0.904

---

# LiPd3Cl

A relaxed structure of LiPd3Cl (GGA-PBE, the Alexandria database).

Lattice parameters (Å, degrees): 4.404 4.404 4.404 90.00 90.00 90.00
Positions (direct):
1 Li 0.000 0.000 0.000
2 Pd 0.000 0.000 0.500
3 Pd 0.000 0.500 0.000
4 Pd 0.500 0.000 0.000
5 Cl 0.500 0.500 0.500

---

# Li6PdCl8

A relaxed structure of Li6PdCl8 (GGA-PBE, the Alexandria database).

Lattice parameters (Å, degrees): 7.328 7.328 7.328 60.00 60.00 60.00
Positions (direct):
1 Li 0.000 0.000 0.500
2 Li 0.000 0.500 0.000
3 Li 0.000 0.500 0.500
4 Li 0.500 0.000 0.000
5 Li 0.500 0.000 0.500
6 Li 0.500 0.500 0.000
7 Pd 0.000 0.000 0.000
8 Cl 0.245 0.245 0.755
9 Cl 0.245 0.755 0.245
10 Cl 0.245 0.755 0.755
11 Cl 0.250 0.250 0.250
12 Cl 0.750 0.750 0.750
13 Cl 0.755 0.245 0.245
14 Cl 0.755 0.245 0.755
15 Cl 0.755 0.755 0.245

---

# Li3PdCl6

A relaxed structure of Li3PdCl6 (GGA-PBE, the Alexandria database).

Lattice parameters (Å, degrees): 7.551 7.551 7.551 92.54 92.54 92.54
Positions (direct):
1 Li 0.118 0.210 0.570
2 Li 0.210 0.570 0.118
3 Li 0.430 0.882 0.790
4 Li 0.570 0.118 0.210
5 Li 0.790 0.430 0.882
6 Li 0.882 0.790 0.430
7 Pd 0.000 0.000 0.000
8 Pd 0.500 0.500 0.500
9 Cl 0.087 0.910 0.694
10 Cl 0.090 0.306 0.913
11 Cl 0.188 0.516 0.447
12 Cl 0.306 0.913 0.090
13 Cl 0.447 0.188 0.516
14 Cl 0.484 0.553 0.812
15 Cl 0.516 0.447 0.188
16 Cl 0.553 0.812 0.484
17 Cl 0.694 0.087 0.910
18 Cl 0.812 0.484 0.553
19 Cl 0.910 0.694 0.087
20 Cl 0.913 0.090 0.306

---

# LiPd3Cl

A relaxed structure of LiPd3Cl (GGA-PBE, the Alexandria database).

Lattice parameters (Å, degrees): 4.577 4.577 4.577 90.00 90.00 90.00
Positions (direct):
1 Li 0.000 0.000 0.000
2 Pd 0.000 0.500 0.500
3 Pd 0.500 0.000 0.500
4 Pd 0.500 0.500 0.000
5 Cl 0.500 0.500 0.500

---

# LiPdCl6

A relaxed structure of LiPdCl6 (GGA-PBE, the Alexandria database).

Lattice parameters (Å, degrees): 6.325 6.325 6.293 90.17 90.17 119.39
Positions (direct):
1 Li 0.000 0.000 0.000
2 Pd 0.000 0.000 0.500
3 Cl 0.001 0.705 0.276
4 Cl 0.292 0.292 0.278
5 Cl 0.295 0.999 0.724
6 Cl 0.705 0.001 0.276
7 Cl 0.708 0.708 0.722
8 Cl 0.999 0.295 0.724

---

In eV per atom, the ΔE_f (raw) values for the records above are, in order, -0.560, -1.035, -0.700, 0.505, -1.504, -1.190, 0.145, -0.545.
In eV per atom, the energy values for the records above are, in order, -2.833, -3.378, -3.684, -3.363, -3.601, -3.391, -3.722, -2.819.